[1]
Material: CuGeAu
Method: DFT, PBE
State: relaxed

CIF file:
```
data_CuGeAu
_chemical_formula_sum 'Cu4 Ge4 Au4'
_space_group_name_H-M_alt 'F -4 3 m'
_space_group_IT_number 216
_space_group_name_Hall 'F -4 2 3'
_cell_length_a 5.983
_cell_length_b 5.983
_cell_length_c 5.983
_cell_angle_alpha 90.00
_cell_angle_beta 90.00
_cell_angle_gamma 90.00
loop_
_atom_site_label
_atom_site_type_symbol
_atom_site_fract_x
_atom_site_fract_y
_atom_site_fract_z
Cu1 Cu 0.000 0.000 0.000
Ge1 Ge 0.250 0.250 0.250
Au1 Au 0.250 0.250 0.750
```

Computed properties:
VASP energy (eV/atom): -3.904
DOS(E_F) (states/eV/cell): 8.32
M_tot (μB per cell): 0.000
ΔE_f (eV/atom): 0.0934
Offset from the most stable computed form (meV/atom): 72

[2]
Material: Cu2GeAu8
Method: DFT, PBE
State: relaxed

CIF file:
```
data_Cu2GeAu8
_chemical_formula_sum 'Cu4 Ge2 Au16'
_space_group_name_H-M_alt 'I m m m'
_space_group_IT_number 71
_space_group_name_Hall '-I 2 2'
_cell_length_a 4.232
_cell_length_b 7.578
_cell_length_c 12.020
_cell_angle_alpha 90.00
_cell_angle_beta 90.00
_cell_angle_gamma 90.00
loop_
_atom_site_label
_atom_site_type_symbol
_atom_site_fract_x
_atom_site_fract_y
_atom_site_fract_z
Cu1 Cu 0.000 0.000 0.194
Ge1 Ge 0.000 0.000 0.500
Au1 Au 0.000 0.183 0.000
Au2 Au 0.000 0.282 0.338
Au3 Au 0.000 0.500 0.142
```

Computed properties:
VASP energy (eV/atom): -3.508
DOS(E_F) (states/eV/cell): 8.84
M_tot (μB per cell): 0.000
ΔE_f (eV/atom): 0.0399
Offset from the most stable computed form (meV/atom): 0

[3]
Material: Cu8Ge2Au
Method: DFT, PBE
State: relaxed

CIF file:
```
data_Cu8Ge2Au
_chemical_formula_sum 'Cu16 Ge4 Au2'
_space_group_name_H-M_alt 'C 1 2/m 1'
_space_group_IT_number 12
_cell_length_a 6.721
_cell_length_b 11.638
_cell_length_c 4.403
_cell_angle_alpha 90.00
_cell_angle_beta 117.19
_cell_angle_gamma 90.00
loop_
_space_group_symop_operation_xyz
'x,y,z'
'-x,-y,-z'
'-x,y,-z'
'x,-y,z'
'x+1/2,y+1/2,z'
'-x+1/2,-y+1/2,-z'
'-x+1/2,y+1/2,-z'
'x+1/2,-y+1/2,z'
loop_
_atom_site_label
_atom_site_type_symbol
_atom_site_fract_x
_atom_site_fract_y
_atom_site_fract_z
Cu1 Cu 0.000 0.222 0.000
Cu2 Cu 0.078 0.500 0.803
Cu3 Cu 0.209 0.112 0.646
Ge1 Ge 0.000 0.308 0.500
Au1 Au 0.000 0.000 0.000
```

Computed properties:
VASP energy (eV/atom): -4.031
DOS(E_F) (states/eV/cell): 6.17
M_tot (μB per cell): 0.000
ΔE_f (eV/atom): 0.0851

[4]
Material: Cu2GeAu4
Method: DFT, PBE
State: relaxed

CIF file:
```
data_Cu2GeAu4
_chemical_formula_sum 'Cu4 Ge2 Au8'
_space_group_name_H-M_alt 'C m m m'
_space_group_IT_number 65
_space_group_name_Hall '-C 2 2'
_cell_length_a 7.349
_cell_length_b 7.605
_cell_length_c 4.310
_cell_angle_alpha 90.00
_cell_angle_beta 90.00
_cell_angle_gamma 90.00
loop_
_atom_site_label
_atom_site_type_symbol
_atom_site_fract_x
_atom_site_fract_y
_atom_site_fract_z
Cu1 Cu 0.185 0.000 0.000
Ge1 Ge 0.000 0.000 0.500
Au1 Au 0.000 0.317 0.000
Au2 Au 0.250 0.250 0.500
```

Computed properties:
VASP energy (eV/atom): -3.666
DOS(E_F) (states/eV/cell): 6.39
M_tot (μB per cell): 0.000
ΔE_f (eV/atom): 0.0372